Material: CoOF
Method: DFT, PBE with a Hubbard U
State: relaxed

Crystal system: monoclinic
DOS at the Fermi energy: 6.92 states/eV/cell
Electronic total energy: -5.286 eV per atom
Polymorph energy (0 for the lowest one): 0.053 eV/atom
Calculated density: 5.0 g/cm³

Cell: 2.914 4.705 18.188 Å, 89.32 90.00 90.00°
Each line ends with the local moment (μB).
Fractional positions:
Co 0.500 0.633 0.751  -0.01
Co 0.500 0.500 0.500  -2.53
Co 0.500 0.500 0.000  2.11
Co 0.000 0.056 0.627  -2.19
Co 0.000 0.927 0.127  -2.47
Co 0.000 0.073 0.873  -2.47
Co 0.500 0.367 0.249  -0.01
Co 0.000 0.944 0.373  -2.19
O 0.000 0.647 0.052  0.13
O 0.500 0.786 0.423  -0.07
O 0.000 0.353 0.948  0.13
O 0.500 0.214 0.577  -0.07
O 0.500 0.080 0.318  -0.10
O 0.000 0.778 0.802  0.11
O 0.500 0.920 0.682  -0.10
O 0.000 0.222 0.198  0.11
F 0.500 0.702 0.182  -0.03
F 0.500 0.138 0.073  0.00
F 0.000 0.557 0.301  -0.02
F 0.000 0.711 0.553  -0.09
F 0.500 0.298 0.818  -0.03
F 0.000 0.443 0.699  -0.02
F 0.500 0.862 0.927  0.00
F 0.000 0.289 0.447  -0.09